# Dy6Mg2N

An optimized crystal structure of Dy6Mg2N (PBE, the Alexandria database).

Calculated values
magnetization = 0.00 μB per formula unit
E = -42.4 eV/cell
raw formation energy = -358 meV/atom

```
Dy6Mg2N
1.0
6.0048 -3.4868 0.0000
6.0048 3.4868 0.0000
-4.0314 0.0000 5.6756
Dy Mg N
6 2 1
Cartesian
2.8567 1.7874 4.1099
-0.2277 0.0000 4.4359
5.1216 1.7874 1.5657
2.8567 -1.7874 4.1099
8.2059 0.0000 1.2398
5.1216 -1.7874 1.5657
1.9959 0.0000 1.4225
5.9823 0.0000 4.2532
-2.0157 0.0000 2.8378
```